# 1
# LaMgCu2 | Alexandria | GGA-PBE | optimized geometry
# Density of states at the Fermi level   0.799 states/eV/atom
# DFT formation energy   -0.75 eV per formula unit
data_LaMgCu2
_chemical_formula_sum 'La2 Mg2 Cu4'
_cell_length_a 4.6062
_cell_length_b 4.6062
_cell_length_c 9.1244
_cell_angle_alpha 90.00
_cell_angle_beta 90.00
_cell_angle_gamma 120.00
_space_group_name_H-M_alt 'P 63/m m c'
_space_group_IT_number 194
_space_group_name_Hall '-P 6c 2c'
loop_
_atom_site_label
_atom_site_type_symbol
_atom_site_fract_x
_atom_site_fract_y
_atom_site_fract_z
La1 La 0.3333 0.6667 0.2500
Mg1 Mg 0.0000 0.0000 0.0000
Cu1 Cu 0.3333 0.6667 0.5697

# 2
# La3MgCu8 | Alexandria | GGA-PBE | optimized geometry
# Density of states at the Fermi level   0.594 states/eV/atom
# DFT formation energy   -1.69 eV per formula unit
data_La3MgCu8
_chemical_formula_sum 'La3 Mg1 Cu8'
_cell_length_a 5.3271
_cell_length_b 5.3271
_cell_length_c 8.6975
_cell_angle_alpha 90.00
_cell_angle_beta 90.00
_cell_angle_gamma 120.00
_space_group_name_H-M_alt 'P 3 m 1'
_space_group_IT_number 156
loop_
_space_group_symop_operation_xyz
'x,y,z'
'-y,x-y,z'
'-x+y,-x,z'
'-y,-x,z'
'-x+y,y,z'
'x,x-y,z'
loop_
_atom_site_label
_atom_site_type_symbol
_atom_site_fract_x
_atom_site_fract_y
_atom_site_fract_z
La1 La 0.0000 0.0000 0.0000
La2 La 0.0000 0.0000 0.3913
La3 La 0.3333 0.6667 0.8679
Mg1 Mg 0.3333 0.6667 0.4963
Cu1 Cu 0.3429 0.1714 0.6847
Cu2 Cu 0.5014 0.0027 0.1989
Cu3 Cu 0.6667 0.3333 0.4463
Cu4 Cu 0.6667 0.3333 0.9509

# 3
# LaMgCu2 | Alexandria | GGA-PBE | optimized geometry
# Density of states at the Fermi level   1.009 states/eV/atom
# DFT formation energy   0.30 eV per formula unit
data_LaMgCu2
_chemical_formula_sum 'La2 Mg2 Cu4'
_cell_length_a 4.892
_cell_length_b 4.892
_cell_length_c 6.783
_cell_angle_alpha 90.00
_cell_angle_beta 90.00
_cell_angle_gamma 90.00
_space_group_name_H-M_alt 'I -4 m 2'
_space_group_IT_number 119
_space_group_name_Hall 'I -4 -2'
loop_
_atom_site_label
_atom_site_type_symbol
_atom_site_fract_x
_atom_site_fract_y
_atom_site_fract_z
La1 La 0.000 0.000 0.000
Mg1 Mg 0.000 0.500 0.250
Cu1 Cu 0.000 0.000 0.500
Cu2 Cu 0.000 0.500 0.750

# 4
# LaMg8Cu4 | Alexandria | GGA-PBE | optimized geometry
# Density of states at the Fermi level   0.591 states/eV/atom
# DFT formation energy   -1.46 eV per formula unit
data_LaMg8Cu4
_chemical_formula_sum 'La2 Mg16 Cu8'
_cell_length_a 9.645
_cell_length_b 9.645
_cell_length_c 5.393
_cell_angle_alpha 90.00
_cell_angle_beta 90.00
_cell_angle_gamma 90.00
_space_group_name_H-M_alt 'I 4/m m m'
_space_group_IT_number 139
_space_group_name_Hall '-I 4 2'
loop_
_atom_site_label
_atom_site_type_symbol
_atom_site_fract_x
_atom_site_fract_y
_atom_site_fract_z
La1 La 0.000 0.000 0.000
Mg1 Mg 0.000 0.218 0.500
Mg2 Mg 0.000 0.343 0.000
Cu1 Cu 0.250 0.250 0.250

# 5
# La2MgCu | Alexandria | GGA-PBE | optimized geometry
# Density of states at the Fermi level   1.447 states/eV/atom
# DFT formation energy   0.26 eV per formula unit
data_La2MgCu
_chemical_formula_sum 'La6 Mg3 Cu3'
_cell_length_a 3.7692
_cell_length_b 3.7692
_cell_length_c 29.0903
_cell_angle_alpha 90.00
_cell_angle_beta 90.00
_cell_angle_gamma 120.00
_space_group_name_H-M_alt 'R -3 m'
_space_group_IT_number 166
_space_group_name_Hall '-R 3 2"'
loop_
_atom_site_label
_atom_site_type_symbol
_atom_site_fract_x
_atom_site_fract_y
_atom_site_fract_z
La1 La 0.0000 0.0000 0.2383
Mg1 Mg 0.0000 0.0000 0.0000
Cu1 Cu 0.0000 0.0000 0.5000

# 6
# La2Mg6Cu3 | Alexandria | GGA-PBE | optimized geometry
# Density of states at the Fermi level   0.776 states/eV/atom
# DFT formation energy   -0.66 eV per formula unit
data_La2Mg6Cu3
_chemical_formula_sum 'La2 Mg6 Cu3'
_cell_length_a 8.6386
_cell_length_b 8.6386
_cell_length_c 3.9300
_cell_angle_alpha 90.00
_cell_angle_beta 90.00
_cell_angle_gamma 120.00
_space_group_name_H-M_alt 'P -6 2 m'
_space_group_IT_number 189
_space_group_name_Hall 'P -6 -2'
loop_
_atom_site_label
_atom_site_type_symbol
_atom_site_fract_x
_atom_site_fract_y
_atom_site_fract_z
La1 La 0.3333 0.6667 0.0000
Mg1 Mg 0.0000 0.2020 0.0000
Mg2 Mg 0.0000 0.6954 0.5000
Cu1 Cu 0.0000 0.3939 0.5000